No. 1
Compound: Cs2LiNdB2O6
Source: the Alexandria database
Functional: PBEsol
Structure: relaxed

Calculated values
VASP energy (eV per atom): -7.064
Space group: Pbcm, No. 57

Cell: 7.187 9.874 10.267 Å, 90.00 90.00 90.00°
Positions (direct):
Cs1 0.725 0.422 0.948
Cs2 0.725 0.078 0.448
Cs3 0.275 0.578 0.448
Cs4 0.725 0.078 0.052
Cs5 0.275 0.922 0.948
Cs6 0.275 0.578 0.052
Cs7 0.725 0.422 0.552
Cs8 0.275 0.922 0.552
O1 0.181 0.793 0.250
O2 0.819 0.207 0.750
O3 0.980 0.511 0.750
O4 0.396 0.291 0.388
O5 0.819 0.293 0.250
O6 0.396 0.209 0.612
O7 0.604 0.791 0.112
O8 0.980 0.989 0.250
O9 0.020 0.489 0.250
O10 0.111 0.250 0.500
O11 0.020 0.011 0.750
O12 0.311 0.483 0.750
O13 0.604 0.791 0.388
O14 0.604 0.709 0.612
O15 0.396 0.291 0.112
O16 0.396 0.209 0.888
O17 0.689 0.983 0.750
O18 0.111 0.250 0.000
O19 0.181 0.707 0.750
O20 0.889 0.750 0.000
O21 0.604 0.709 0.888
O22 0.311 0.017 0.250
O23 0.889 0.750 0.500
O24 0.689 0.517 0.250
B1 0.844 0.433 0.250
B2 0.306 0.250 0.500
B3 0.844 0.067 0.750
B4 0.694 0.750 0.000
B5 0.694 0.750 0.500
B6 0.156 0.933 0.250
B7 0.306 0.250 0.000
B8 0.156 0.567 0.750
Li1 0.551 0.340 0.250
Li2 0.551 0.160 0.750
Li3 0.449 0.660 0.750
Li4 0.449 0.840 0.250
Nd1 0.860 0.773 0.750
Nd2 0.140 0.273 0.750
Nd3 0.140 0.227 0.250
Nd4 0.860 0.727 0.250


No. 2
Compound: Os5W
Source: the Alexandria database
Functional: PBEsol
Structure: relaxed

Calculated values
Space group: Amm2, No. 38
Calculated formation energy (eV per atom): -0.012
Energy above the lowest structure with this stoichiometry (eV per formula unit): 0.12

Cell: 2.750 4.353 7.280 Å, 90.00 100.88 90.00°
Positions (direct):
Os1 0.001 0.000 0.001
Os2 0.333 0.000 0.666
Os3 0.667 0.000 0.335
Os4 0.220 0.500 0.439
Os5 0.556 0.500 0.113
W1 0.890 0.500 0.779


No. 3
Compound: Mg2ScZn
Source: the Alexandria database
Functional: PBEsol
Structure: relaxed

Calculated values
Space group: P4mm, No. 99
Calculated formation energy (eV per atom): -0.138

Cell: 3.154 3.154 8.079 Å, 90.00 90.00 90.00°
Each line ends with the local moment (μB).
Positions (direct):
Sc1 0.000 0.000 0.536  0.18
Zn1 0.500 0.500 0.752  0.01
Mg1 0.000 0.000 0.966  0.00
Mg2 0.500 0.500 0.246  0.00


No. 4
Compound: KSbO3
Source: the Alexandria database
Functional: PBEsol
Structure: relaxed

Calculated values
VASP energy (eV per atom): -5.949
Space group: R-3, No. 148

Cell: 5.415 5.415 6.838 Å, 66.67 66.67 60.00°
Positions (direct):
O1 0.964 0.558 0.310
O2 0.442 0.833 0.690
O3 0.558 0.167 0.310
O4 0.036 0.442 0.690
O5 0.833 0.036 0.690
O6 0.167 0.964 0.310
Sb1 0.836 0.836 0.492
Sb2 0.164 0.164 0.508
K1 0.359 0.359 0.922
K2 0.641 0.641 0.078


No. 5
Compound: Mg2CrAgC
Source: the Alexandria database
Functional: PBEsol
Structure: relaxed

Calculated values
Space group: P4/mmm, No. 123
Calculated formation energy (eV per atom): 0.998

Cell: 3.677 5.103 5.103 Å, 90.00 90.00 90.00°
Each line ends with the local moment (μB).
Positions (direct):
Mg1 0.000 0.000 0.500  0.02
Mg2 0.000 0.500 0.000  0.02
Ag1 0.500 0.500 0.500  0.03
C1 0.500 0.000 0.000  -0.07
Cr1 0.000 0.000 0.000  2.46


No. 6
Compound: CaLaZn
Source: the Alexandria database
Functional: PBEsol
Structure: relaxed

Calculated values
Space group: I4mm, No. 107
Calculated formation energy (eV per atom): -0.152

Cell: 3.605 3.605 7.145 Å, 104.61 104.61 90.00°
Positions (direct):
La1 0.697 0.697 0.395
Ca1 0.969 0.969 0.938
Zn1 0.334 0.334 0.667


| no. | calculated volume (Å³ per atom) | size of the total moment (μB/f.u.) |
| --- | --- | --- |
| 1 | 15.180 | 0.00 |
| 2 | 14.261 | 0.00 |
| 3 | 20.089 | 0.27 |
| 4 | 15.446 | 0.00 |
| 5 | 19.147 | 2.76 |
| 6 | 28.912 | 0.00 |